1.
! DyBePd3 PBE relaxed; values from VASP
&SYSTEM
  ibrav = 0, nat = 5, ntyp = 3
/
ATOMIC_SPECIES
Be 9.01 Be.upf
Pd 106.42 Pd.upf
Dy 162.50 Dy.upf
CELL_PARAMETERS angstrom
-0.2756 4.1300 -1.3793
-4.2263 0.0788 1.0804
1.0477 1.4043 3.9957
ATOMIC_POSITIONS angstrom
Be 0.0000 0.0000 0.0000
Pd 0.5238 0.7022 1.9979
Pd -0.1378 2.0650 -0.6896
Pd -2.1132 0.0394 0.5402
Dy -1.7271 2.8066 1.8484
! DOS at the Fermi energy = 3.14 states/eV/f.u.
! formation enthalpy at 0 K = -3.46 eV per formula unit
! calculated density = 9.81 g cm⁻³

2.
! HoTh3Hg7 PBE relaxed; values from VASP
&SYSTEM
  ibrav = 0, nat = 22, ntyp = 3
/
ATOMIC_SPECIES
Hg 200.59 Hg.upf
Th 232.04 Th.upf
Ho 164.93 Ho.upf
CELL_PARAMETERS angstrom
-0.1768 -3.0867 -1.6544
11.0841 1.5613 -0.3811
1.4778 -7.2349 13.3406
ATOMIC_POSITIONS angstrom
Hg 3.9844 -7.6653 10.1595
Hg 1.2907 -8.1049 11.2674
Hg 8.4006 -1.0951 1.1456
Hg 9.7530 -5.4121 9.0555
Hg 8.6867 -2.4957 3.7282
Hg 0.8269 -5.8342 7.0805
Hg 6.6901 -8.2159 10.8977
Hg 11.0944 -0.6555 0.0376
Hg 2.6321 -3.3483 2.2496
Hg 11.5582 -2.9262 4.2246
Hg 6.2077 -3.0548 5.0362
Hg 6.1773 -5.7056 6.2688
Hg 3.6983 -6.2647 7.5768
Hg 5.6950 -0.5445 0.4073
Th 9.7978 -8.5081 11.1107
Th 9.1637 -5.4035 5.3862
Th 2.5873 -0.2523 0.1943
Th 3.2214 -3.3569 5.9189
Th 6.5248 -5.4174 9.4102
Th 5.8603 -3.3430 1.8948
Ho 10.6518 -3.3352 1.3683
Ho 1.7333 -5.4252 9.9367
! DOS at the Fermi energy = 7.34 states/eV/f.u.
! formation enthalpy at 0 K = -1.99 eV per formula unit
! calculated density = 12.72 g cm⁻³

3.
! BaLaInTe2 PBE relaxed; values from VASP
&SYSTEM
  ibrav = 0, nat = 5, ntyp = 4
/
ATOMIC_SPECIES
La 138.91 La.upf
Ba 137.33 Ba.upf
In 114.82 In.upf
Te 127.60 Te.upf
CELL_PARAMETERS angstrom
-5.8651 -0.4806 -1.7963
1.8070 -1.3441 -5.5406
0.0415 -5.9761 1.4633
ATOMIC_POSITIONS angstrom
La 0.0000 0.0000 0.0000
Ba -2.0083 -3.9004 -2.9368
In 0.9035 -0.6720 -2.7703
Te 0.0208 -2.9881 0.7316
Te -2.9325 -0.2403 -0.8981
! formation energy from raw total energies = -730 meV/atom
! DOS at the Fermi energy = 4.23 states/eV/f.u.
! calculated density = 4.74 g cm⁻³

4.
! CsRbCuBr4 PBE relaxed; values from VASP
&SYSTEM
  ibrav = 0, nat = 14, ntyp = 4
/
ATOMIC_SPECIES
Rb 85.47 Rb.upf
Cs 132.91 Cs.upf
Br 79.90 Br.upf
Cu 63.55 Cu.upf
CELL_PARAMETERS angstrom
7.1170 0.0000 -0.4202
0.0000 7.5043 0.0000
-3.3146 0.0000 10.1113
ATOMIC_POSITIONS angstrom
Rb -0.2972 1.8761 5.3652
Rb 4.0997 5.6282 4.3259
Cs 1.9361 1.8761 0.7697
Cs 1.8664 5.6282 8.9214
Br 6.1524 3.6876 1.9392
Br -2.3499 7.4398 7.7519
Br -2.3499 3.8167 7.7519
Br 2.2708 5.6282 1.3390
Br 3.1644 1.8761 4.4390
Br 1.5316 1.8761 8.3521
Br 0.6381 5.6282 5.2521
Br 6.1524 0.0645 1.9392
Cu 0.3947 5.6282 2.8411
Cu 3.4077 1.8761 6.8500
! formation energy from raw total energies = -1147 meV/atom
! DOS at the Fermi energy = 5.83 states/eV/f.u.
! calculated density = 3.77 g cm⁻³

Q: Look up the DOS at the Fermi energy of the first one.
A: 3.14 states/eV/f.u.